No. 1
Density functional theory data (PBE) for a relaxed structure of CaHgCl2.

Results
* E_tot: -3.088 eV per atom

```
data_CaHgCl2
_space_group_name_H-M_alt 'P 1 2/m 1'
_space_group_IT_number 10
_cell_length_a 3.505
_cell_length_b 3.504
_cell_length_c 10.080
_cell_angle_alpha 90.00
_cell_angle_beta 90.27
_cell_angle_gamma 90.00
loop_
_space_group_symop_operation_xyz
'x,y,z'
'-x,-y,-z'
'-x,y,-z'
'x,-y,z'
loop_
_atom_site_label
_atom_site_fract_x
_atom_site_fract_y
_atom_site_fract_z
Ca1 0.000 0.000 0.000
Hg1 0.000 0.000 0.500
Cl1 0.499 0.500 0.846
```


No. 2
Density functional theory data (PBE) for a relaxed structure of CaHgCl2.

Results
* E_tot: -2.881 eV per atom

```
data_CaHgCl2
_space_group_name_H-M_alt 'F m -3 m'
_space_group_IT_number 225
_space_group_name_Hall '-F 4 2 3'
_cell_length_a 7.388
_cell_length_b 7.388
_cell_length_c 7.388
_cell_angle_alpha 90.00
_cell_angle_beta 90.00
_cell_angle_gamma 90.00
loop_
_atom_site_label
_atom_site_fract_x
_atom_site_fract_y
_atom_site_fract_z
Ca1 0.000 0.000 0.000
Hg1 0.000 0.000 0.500
Cl1 0.250 0.250 0.250
```


No. 3
Density functional theory data (PBE) for a relaxed structure of CaHgCl2.

Results
* E_tot: -2.669 eV per atom

```
data_CaHgCl2
_space_group_name_H-M_alt 'F -4 3 m'
_space_group_IT_number 216
_space_group_name_Hall 'F -4 2 3'
_cell_length_a 7.380
_cell_length_b 7.380
_cell_length_c 7.380
_cell_angle_alpha 90.00
_cell_angle_beta 90.00
_cell_angle_gamma 90.00
loop_
_atom_site_label
_atom_site_fract_x
_atom_site_fract_y
_atom_site_fract_z
Ca1 0.000 0.000 0.000
Hg1 0.250 0.250 0.750
Cl1 0.000 0.000 0.500
Cl2 0.250 0.250 0.250
```


| no. | total magnetic moment (μB per formula unit) | uncorrected formation energy (meV per atom) | excess energy over the best structure of this formula in the dataset (meV/atom) |
| --- | --- | --- | --- |
| 1 | 0.00 | -1589 | 176 |
| 2 | 0.00 | -1382 | 382 |
| 3 | 0.00 | -1170 | 594 |